Here is HfP3Ru5 after structural relaxation from the Alexandria database. Energies are from GGA-PBE.

Cell lengths 6.491, 6.491, 14.026 Å; angles 90.00, 90.00, 153.71 degrees
Positions (direct):
1 Hf 0.176 0.824 0.750
2 Hf 0.824 0.176 0.250
3 P 0.119 0.881 0.250
4 P 0.364 0.636 0.052
5 P 0.364 0.636 0.448
6 P 0.636 0.364 0.552
7 P 0.636 0.364 0.948
8 P 0.881 0.119 0.750
9 Ru 0.000 0.000 0.000
10 Ru 0.000 0.000 0.500
11 Ru 0.194 0.806 0.092
12 Ru 0.194 0.806 0.408
13 Ru 0.494 0.506 0.658
14 Ru 0.494 0.506 0.842
15 Ru 0.506 0.494 0.158
16 Ru 0.506 0.494 0.342
17 Ru 0.806 0.194 0.592
18 Ru 0.806 0.194 0.908

- final energy (eV per atom) = -8.4281
- theoretical density (Mg/m³) = 9.9
- SG = No. 63
- formation energy (eV/f.u.) = -3.29